[1]
DFT (PBE) results for crystalline Cs4PrPu3O12 at its relaxed geometry.

```
Cs4PrPu3O12
1.0
7.6777 0.0000 0.0000
-2.5592 7.2386 0.0000
-2.5592 -3.6193 6.2688
Cs Pr Pu O
4 1 3 12
direct
0.5000 0.5000 0.5000
0.0000 0.0000 0.5000
0.5000 0.0000 0.0000
0.0000 0.5000 0.0000
0.0000 0.0000 0.0000
0.5000 0.0000 0.5000
0.5000 0.5000 0.0000
0.0000 0.5000 0.5000
0.2500 0.5000 0.7500
0.7259 0.0000 0.7259
0.2741 0.0000 0.2741
0.7500 0.5000 0.2500
0.7259 0.7259 0.0000
0.2741 0.2741 0.0000
0.7500 0.2500 0.5000
0.2500 0.7500 0.5000
0.5000 0.2500 0.7500
0.0000 0.7259 0.7259
0.5000 0.7500 0.2500
0.0000 0.2741 0.2741
```

Properties
Formation energy without anion corrections = -2460 meV per atom

[2]
DFT (PBE) results for crystalline Mg3Al2Ga4Ag2 at its relaxed geometry.

```
Mg3Al2Ga4Ag2
1.0
-0.2955 3.0334 -3.2708
2.4835 -3.6727 -0.5751
-9.7680 -5.8883 -4.5784
Mg Al Ga Ag
3 2 4 2
direct
0.0000 0.0000 0.7354
0.0000 0.0000 0.0000
0.0000 0.0000 0.2646
0.6667 0.3333 0.4218
0.3333 0.6667 0.5782
0.6667 0.3333 0.1071
0.3333 0.6667 0.8929
0.6667 0.3333 0.6351
0.3333 0.6667 0.3649
0.6667 0.3333 0.8595
0.3333 0.6667 0.1405
```

Properties
Energy relative to the elements = -0.08 eV per atom

[3]
DFT (PBE) results for crystalline Nd3In2Ga at its relaxed geometry.

```
Nd3In2Ga
1.0
-3.3190 0.2233 1.8131
-1.8229 -0.6510 -3.2567
0.3676 -11.4447 2.0821
Nd In Ga
3 2 1
direct
0.0000 0.0000 0.0000
0.0000 0.0000 0.6550
0.0000 0.0000 0.3450
0.5000 0.5000 0.8281
0.5000 0.5000 0.1719
0.5000 0.5000 0.5000
```

Properties
Energy relative to the elements = -0.51 eV per atom
Energy above the most stable polymorph in this dataset = 0 meV/atom

[4]
DFT (PBE) results for crystalline HfZr2Ni at its relaxed geometry.

```
HfZr2Ni
1.0
0.0000 3.3746 3.3746
3.3746 0.0000 3.3746
3.3746 3.3746 0.0000
Ni Hf Zr
1 1 2
direct
0.0000 0.0000 0.0000
0.5000 0.5000 0.5000
0.2500 0.2500 0.2500
0.7500 0.7500 0.7500
```

Properties
Energy relative to the elements = 0.07 eV per atom

[5]
DFT (PBE) results for crystalline Er6In2Tc at its relaxed geometry.

```
Er6In2Tc
1.0
-2.7526 2.4555 1.1868
-5.3539 -3.2085 -5.7794
0.3564 -3.3709 7.8014
Er In Tc
6 2 1
direct
0.5000 0.6151 0.0000
0.5000 0.3850 0.3850
0.5000 0.0000 0.6150
0.0000 0.2426 0.0000
0.0000 0.7574 0.7574
0.0000 0.0000 0.2426
0.0000 0.3333 0.6668
0.0000 0.6666 0.3332
0.5000 0.0000 0.0000
```

Properties
Energy relative to the elements = -0.29 eV per atom

[6]
DFT (PBE) results for crystalline InPb2Au6 at its relaxed geometry.

```
InPb2Au6
1.0
6.3903 -0.6134 0.3692
0.0935 5.5768 2.2725
-0.5653 0.9123 5.9264
In Pb Au
1 2 6
direct
0.0000 0.0000 0.0000
0.8654 0.3333 0.3333
0.1346 0.6667 0.6667
0.3199 0.6506 0.1762
0.3421 0.1791 0.1791
0.3199 0.1762 0.6506
0.6801 0.3494 0.8238
0.6579 0.8209 0.8209
0.6801 0.8238 0.3494
```

Properties
Energy relative to the elements = -0.06 eV per atom

[7]
DFT (PBE) results for crystalline ThGa2SiRh2 at its relaxed geometry.

```
ThGa2SiRh2
1.0
-2.2709 -3.6120 -1.4387
0.2283 -1.7871 4.1264
-4.8584 2.5138 1.3575
Th Ga Si Rh
1 2 1 2
direct
0.0000 0.0000 0.5000
0.5000 0.5000 0.7350
0.5000 0.5000 0.2650
0.0000 0.0000 0.0000
0.5000 0.0000 0.0000
0.0000 0.5000 0.0000
```

Properties
Formation energy without anion corrections = -511 meV per atom

[8]
DFT (PBE) results for crystalline MgCrTe2 at its relaxed geometry.

```
MgCrTe2
1.0
5.8324 0.0000 0.0000
0.0000 4.1364 0.0006
0.0000 0.0004 4.1360
Cr Mg Te
1 1 2
direct
0.0000 0.3763 0.3760
0.5000 0.8734 0.8739
0.0000 0.8764 0.8759
0.5000 0.3739 0.3742
```

Properties
Formation energy without anion corrections = -395 meV per atom

| no. | calculated total energy (eV/atom) |
| --- | --- |
| 1 | -7.99 |
| 2 | -2.81 |
| 3 | -4.31 |
| 4 | -8.14 |
| 5 | -5.09 |
| 6 | -3.37 |
| 7 | -6.11 |
| 8 | -4.77 |